Entry 1:
Compound: TlAgSeO
Source: the Open Quantum Materials Database
Functional: GGA-PBE
Structure: optimized geometry

Values from the calculation:
As for the crystal system: tetragonal. The value obtained for the energy is -3.597 eV per atom. The calculation puts the offset from the most stable computed form at 66 meV per atom. The value obtained for the mass density is 8.73 Mg/m³. The space-group type is P4/nmm.

a b c (Å): 4.0862 4.0862 9.2781
angles (deg): 90.00 90.00 90.00
Last column: nearest neighbours and their distance in Å.
Fractional coordinates of all 8 atoms:
Tl (0.2500, 0.2500, 0.1167)  4 O 2.31
Tl (0.7500, 0.7500, 0.8833)  4 O 2.31
Ag (0.2500, 0.7500, 0.5000)  4 Se 2.74, 4 Ag 2.89
Ag (0.7500, 0.2500, 0.5000)  4 Se 2.74, 4 Ag 2.89
Se (0.2500, 0.2500, 0.6965)  4 Ag 2.74
Se (0.7500, 0.7500, 0.3035)  4 Ag 2.74
O (0.2500, 0.7500, 0.0000)  4 Tl 2.31
O (0.7500, 0.2500, 0.0000)  4 Tl 2.31

Entry 2:
Compound: TlAgSeO
Source: the Open Quantum Materials Database
Functional: GGA-PBE
Structure: optimized geometry

Values from the calculation:
As for the crystal system: orthorhombic. The value obtained for the energy is -3.663 eV per atom. The calculation puts the offset from the most stable computed form at 0 meV per atom. The value obtained for the mass density is 7.31 Mg/m³. The space-group type is Pmc2_1.

a b c (Å): 4.1332 7.0629 6.3349
angles (deg): 90.00 90.00 90.00
Last column: nearest neighbours and their distance in Å.
Fractional coordinates of all 8 atoms:
Tl (0.0000, 0.1400, 0.0000)  2 O 2.20-2.21
Tl (0.0000, 0.8600, 0.5000)  2 O 2.20-2.21
Ag (0.5000, 0.2909, 0.5624)  2 O 2.39, 2 Se 2.63-2.67
Ag (0.5000, 0.7091, 0.0624)  2 O 2.39, 2 Se 2.63-2.67
Se (0.5000, 0.3399, 0.1503)  2 Ag 2.63-2.67, 2 Tl 2.68
Se (0.5000, 0.6601, 0.6503)  2 Ag 2.63-2.67, 2 Tl 2.68
O (0.0000, 0.1415, 0.6526)  2 Tl 2.20-2.21, 2 Ag 2.39
O (0.0000, 0.8585, 0.1526)  2 Tl 2.20-2.21, 2 Ag 2.39

Entry 3:
Compound: TlAgSeO
Source: the Open Quantum Materials Database
Functional: GGA-PBE
Structure: optimized geometry

Values from the calculation:
As for the crystal system: monoclinic. The value obtained for the energy is -3.650 eV per atom. The calculation puts the offset from the most stable computed form at 13 meV per atom. The value obtained for the mass density is 7.28 Mg/m³. The space-group type is P2_1.

a b c (Å): 5.7784 5.7760 11.1410
angles (deg): 90.00 91.65 90.00
Last column: nearest neighbours and their distance in Å.
Fractional coordinates of all 16 atoms:
Tl (0.0044, 0.0000, 0.0992)  4 O 2.31-2.35
Tl (0.4948, 0.0007, 0.9011)  4 O 2.29-2.33
Tl (0.5052, 0.5007, 0.0989)  4 O 2.29-2.33
Tl (0.9956, 0.5000, 0.9008)  4 O 2.31-2.35
Ag (0.2175, 0.2671, 0.4963)  2 Se 2.49
Ag (0.5001, 0.0187, 0.3130)  2 Se 2.49
Ag (0.4999, 0.5187, 0.6870)  2 Se 2.49
Ag (0.7825, 0.7671, 0.5037)  2 Se 2.49
Se (0.1958, 0.3167, 0.2739)  2 Ag 2.49
Se (0.2007, 0.2169, 0.7180)  2 Ag 2.49
Se (0.7993, 0.7169, 0.2820)  2 Ag 2.49
Se (0.8042, 0.8167, 0.7261)  2 Ag 2.49
O (0.2468, 0.7510, 0.0002)  4 Tl 2.31-2.33
O (0.2550, 0.2495, 0.9988)  4 Tl 2.29-2.35
O (0.7450, 0.7495, 0.0012)  4 Tl 2.29-2.35
O (0.7532, 0.2510, 0.9998)  4 Tl 2.31-2.33